! CaFe2CoSn | Alexandria | GGA-PBE | optimized geometry; values from VASP
&SYSTEM
  ibrav = 0, nat = 5, ntyp = 4
/
ATOMIC_SPECIES
Ca 40.08 Ca.upf
Co 58.93 Co.upf
Sn 118.71 Sn.upf
Fe 55.84 Fe.upf
CELL_PARAMETERS angstrom
-4.542 0.218 0.043
-0.091 -2.628 3.692
0.203 3.699 2.638
ATOMIC_POSITIONS crystal
Ca 0.000 0.000 0.000
Co 0.000 0.500 0.000
Sn 0.500 0.500 0.500
Fe 0.000 0.000 0.500
Fe 0.500 0.000 0.000
! energy of formation	1.67	eV/atom
! calculated volume	18.75	Å³ per atom